The following is a GGA-PBE calculation of MoW3 after structural relaxation, from the Alexandria database.

Energy relative to the elements = 1.54 eV per formula unit
Total moment = 0.0000 μB per atom
Crystal system = trigonal

Cell lengths 3.0075, 3.0075, 25.2896 Å; angles 90.00, 90.00, 120.00 degrees
Element x y z (fractional)
Mo 0.0000 0.0000 0.0000
Mo 0.3333 0.6667 0.6667
Mo 0.6667 0.3333 0.3333
W 0.0000 0.0000 0.2503
W 0.0000 0.0000 0.5000
W 0.0000 0.0000 0.7497
W 0.3333 0.6667 0.1667
W 0.3333 0.6667 0.4163
W 0.3333 0.6667 0.9170
W 0.6667 0.3333 0.0830
W 0.6667 0.3333 0.5837
W 0.6667 0.3333 0.8333